{
  "formula": "Pa3Mo",
  "functional": "PBE",
  "state": "relaxed",
  "lattice_angstrom": [[-4.694, 1.760, -0.049], [-2.495, 0.366, -4.333], [-3.828, -3.093, -0.957]],
  "species": ["Pa", "Mo", "Pa", "Pa"],
  "fractional_positions": [[0.000, 0.000, 0.000], [0.500, 0.500, 0.500], [0.250, 0.250, 0.250], [0.750, 0.750, 0.750]],
  "e_above_lowest_polymorph_mev_per_atom": 49.3,
  "total_energy_ev_per_atom": -9.590,
  "spacegroup": "Fm-3m",
  "ef_ev_per_atom": 0.240
}